No. 1
BeIn3Pt after structural relaxation. Source: the Alexandria database, functional PBE.

abc: 5.1863 5.1863 5.1863
angles: 90.00 90.00 90.00
Fractional positions:
Be1 0.5000 0.5000 0.5000
Pt1 0.0000 0.0000 0.0000
In1 0.0000 0.5000 0.0000
In2 0.0000 0.0000 0.5000
In3 0.5000 0.0000 0.0000

E_form: 367 meV per atom
Fermi-level density of states: 1.790 states/eV/cell
Size of the total moment: 0.00 μB per formula unit
Space-group type: Pm-3m (221)
E: -3.229 eV per atom

No. 2
Be3InPt after structural relaxation. Source: the Alexandria database, functional PBE.

abc: 4.3463 4.3463 4.3463
angles: 90.00 90.00 90.00
Fractional positions:
Be1 0.0000 0.5000 0.0000
Be2 0.0000 0.0000 0.5000
Be3 0.5000 0.0000 0.0000
Pt1 0.0000 0.0000 0.0000
In1 0.5000 0.5000 0.5000

E_form: 150 meV per atom
Fermi-level density of states: 1.379 states/eV/cell
Size of the total moment: 0.00 μB per formula unit
Space-group type: Pm-3m (221)
E: -3.842 eV per atom

No. 3
BeInPt2 after structural relaxation. Source: the Alexandria database, functional PBE.

abc: 4.0596 4.0606 3.7090
angles: 90.00 90.00 90.00
Fractional positions:
Be1 0.5000 0.0000 0.5000
Pt1 0.0000 0.0000 0.0000
Pt2 0.5000 0.5000 0.0000
In1 0.0000 0.5000 0.5000

E_form: -370 meV per atom
Fermi-level density of states: 0.978 states/eV/cell
Size of the total moment: 0.00 μB per formula unit
Space-group type: P4/mmm (123)
E: -5.006 eV per atom

No. 4
Be4InPt after structural relaxation. Source: the Alexandria database, functional PBE.

abc: 4.5752 4.5752 4.5752
angles: 60.00 60.00 60.00
Fractional positions:
Be1 0.8822 0.3726 0.3726
Be2 0.3726 0.3726 0.8822
Be3 0.3726 0.8822 0.3726
Be4 0.3726 0.3726 0.3726
In1 0.7500 0.7500 0.7500
Pt1 0.0000 0.0000 0.0000

E_form: -170 meV per atom
Fermi-level density of states: 0.608 states/eV/cell
Size of the total moment: 0.00 μB per formula unit
Space-group type: F-43m (216)
E: -4.117 eV per atom

Repeat the first record exactly.
BeIn3Pt after structural relaxation. Source: the Alexandria database, functional PBE.

abc: 5.1863 5.1863 5.1863
angles: 90.00 90.00 90.00
Fractional positions:
Be1 0.5000 0.5000 0.5000
Pt1 0.0000 0.0000 0.0000
In1 0.0000 0.5000 0.0000
In2 0.0000 0.0000 0.5000
In3 0.5000 0.0000 0.0000

E_form: 367 meV per atom
Fermi-level density of states: 1.790 states/eV/cell
Size of the total moment: 0.00 μB per formula unit
Space-group type: Pm-3m (221)
E: -3.229 eV per atom